Record 1
A plane-wave DFT calculation with PBE-GGA was carried out for a relaxed structure of Cu2SCl8.

Cell: 8.186 6.860 7.858 Å, 102.05 90.00 126.63°
Site moments in Bohr magnetons follow the coordinates.
Atoms (fractional coordinates):
Cu  0.225  0.450  0.369  0.23
Cu  0.775  0.550  0.631  0.23
S  0.000  0.000  0.000  0.29
Cl  0.067  0.736  0.848  0.09
Cl  0.331  0.264  0.152  0.09
Cl  0.133  0.266  0.580  0.29
Cl  0.867  0.734  0.420  0.29
Cl  0.669  0.736  0.848  0.09
Cl  0.933  0.264  0.152  0.09
Cl  0.421  0.841  0.368  0.01
Cl  0.579  0.159  0.632  0.01

**Density of states at the Fermi level**: 5.60 states/eV/f.u.
**Symmetry**: No. 12
**Uncorrected energy**: -2.601 eV per atom
**Size of the total moment**: 2.11 μB per formula unit

=====

Record 2
A plane-wave DFT calculation with PBE-GGA was carried out for a relaxed structure of CuS3Cl3.

Cell: 9.679 9.678 9.679 Å, 51.37 51.36 51.37°
Site moments in Bohr magnetons follow the coordinates.
Atoms (fractional coordinates):
Cu  0.265  0.265  0.265  0.40
Cu  0.735  0.735  0.735  0.40
S  0.730  0.003  0.949  0.23
S  0.003  0.949  0.730  0.23
S  0.949  0.730  0.003  0.23
S  0.051  0.270  0.997  0.23
S  0.997  0.051  0.270  0.23
S  0.270  0.997  0.051  0.23
Cl  0.695  0.501  0.014  0.15
Cl  0.014  0.695  0.501  0.15
Cl  0.501  0.014  0.695  0.15
Cl  0.499  0.986  0.305  0.15
Cl  0.986  0.305  0.499  0.15
Cl  0.305  0.499  0.986  0.15

**Density of states at the Fermi level**: 3.62 states/eV/f.u.
**Symmetry**: No. 148
**Uncorrected energy**: -3.138 eV per atom
**Size of the total moment**: 2.09 μB per formula unit

=====

Record 3
A plane-wave DFT calculation with PBE-GGA was carried out for a relaxed structure of Cu3SCl2.

Cell: 7.018 7.633 7.633 Å, 128.19 104.22 104.22°
Atoms (fractional coordinates):
Cu  0.913  0.243  0.406
Cu  0.413  0.406  0.243
Cu  0.000  0.500  0.000
Cu  0.087  0.757  0.594
Cu  0.500  0.000  0.500
Cu  0.587  0.594  0.757
S  0.250  0.645  0.355
S  0.750  0.355  0.645
Cl  0.250  0.988  0.012
Cl  0.250  0.340  0.660
Cl  0.750  0.012  0.988
Cl  0.750  0.660  0.340

**Density of states at the Fermi level**: 5.31 states/eV/f.u.
**Symmetry**: No. 15
**Uncorrected energy**: -3.650 eV per atom
**Size of the total moment**: 0.00 μB per formula unit

=====

Record 4
A plane-wave DFT calculation with PBE-GGA was carried out for a relaxed structure of CuS5Cl.

Cell: 5.392 4.309 10.337 Å, 98.99 102.66 101.54°
Atoms (fractional coordinates):
Cu  0.821  0.321  0.643
S  0.907  0.179  0.095
S  0.112  0.612  0.224
S  0.188  0.916  0.095
S  0.258  0.523  0.726
S  0.469  0.203  0.726
Cl  0.776  0.776  0.551

**Density of states at the Fermi level**: 2.55 states/eV/f.u.
**Symmetry**: No. 5
**Uncorrected energy**: -3.814 eV per atom
**Size of the total moment**: 0.00 μB per formula unit

=====

Record 5
A plane-wave DFT calculation with PBE-GGA was carried out for a relaxed structure of Cu4S2Cl5.

Cell: 3.743 8.794 9.169 Å, 69.13 108.80 110.34°
Atoms (fractional coordinates):
Cu  0.675  0.452  0.340
Cu  0.843  0.254  0.035
Cu  0.325  0.548  0.660
Cu  0.157  0.746  0.965
S  0.611  0.590  0.060
S  0.389  0.410  0.940
Cl  0.119  0.247  0.303
Cl  0.881  0.753  0.697
Cl  0.221  0.660  0.379
Cl  0.500  0.000  0.000
Cl  0.779  0.340  0.621

**Density of states at the Fermi level**: 7.51 states/eV/f.u.
**Symmetry**: No. 2
**Uncorrected energy**: -3.485 eV per atom
**Size of the total moment**: 0.00 μB per formula unit

=====

Record 6
A plane-wave DFT calculation with PBE-GGA was carried out for a relaxed structure of Cu4S2Cl.

Cell: 3.549 10.640 13.369 Å, 90.00 90.00 90.00°
Atoms (fractional coordinates):
Cu  0.916  0.111  0.481
Cu  0.084  0.889  0.519
Cu  0.504  0.000  0.750
Cu  0.084  0.111  0.981
Cu  0.084  0.389  0.981
Cu  0.007  0.750  0.864
Cu  0.916  0.889  0.019
Cu  0.993  0.750  0.364
Cu  0.504  0.500  0.750
Cu  0.496  0.000  0.250
Cu  0.916  0.389  0.481
Cu  0.993  0.250  0.136
Cu  0.007  0.250  0.636
Cu  0.496  0.500  0.250
Cu  0.916  0.611  0.019
Cu  0.084  0.611  0.519
S  0.001  0.453  0.643
S  0.001  0.953  0.857
S  0.999  0.953  0.357
S  0.001  0.547  0.857
S  0.999  0.547  0.357
S  0.001  0.047  0.643
S  0.999  0.047  0.143
S  0.999  0.453  0.143
Cl  0.481  0.250  0.900
Cl  0.481  0.750  0.600
Cl  0.519  0.250  0.400
Cl  0.519  0.750  0.100

**Density of states at the Fermi level**: 2.05 states/eV/f.u.
**Symmetry**: No. 57
**Uncorrected energy**: -3.992 eV per atom
**Size of the total moment**: 0.00 μB per formula unit

=====

Record 7
A plane-wave DFT calculation with PBE-GGA was carried out for a relaxed structure of Cu4SCl3.

Cell: 6.541 7.162 7.469 Å, 90.00 90.00 90.00°
Atoms (fractional coordinates):
S  0.012  0.000  0.861
S  0.512  0.500  0.139
Cu  0.988  0.000  0.149
Cu  0.319  0.000  0.757
Cu  0.826  0.765  0.773
Cu  0.326  0.735  0.227
Cu  0.819  0.500  0.243
Cu  0.488  0.500  0.851
Cu  0.326  0.265  0.227
Cu  0.826  0.235  0.773
Cl  0.500  0.000  0.175
Cl  0.007  0.750  0.345
Cl  0.507  0.750  0.655
Cl  0.000  0.500  0.825
Cl  0.507  0.250  0.655
Cl  0.007  0.250  0.345

**Density of states at the Fermi level**: 3.42 states/eV/f.u.
**Symmetry**: No. 31
**Uncorrected energy**: -3.618 eV per atom
**Size of the total moment**: 0.00 μB per formula unit

=====

Record 8
A plane-wave DFT calculation with PBE-GGA was carried out for a relaxed structure of Cu2S7Cl2.

Cell: 3.611 12.530 16.000 Å, 78.77 36.58 53.77°
Atoms (fractional coordinates):
Cu  0.378  0.814  0.213
Cu  0.567  0.220  0.772
S  0.675  0.574  0.953
S  0.170  0.863  0.388
S  0.087  0.376  0.956
S  0.932  0.108  0.594
S  0.962  0.914  0.095
S  0.180  0.565  0.403
S  0.565  0.512  0.485
Cl  0.924  0.166  0.264
Cl  0.560  0.889  0.879

**Density of states at the Fermi level**: 3.93 states/eV/f.u.
**Symmetry**: No. 1
**Uncorrected energy**: -3.656 eV per atom
**Size of the total moment**: 0.00 μB per formula unit

=====

Copy entry 2 word for word.
A plane-wave DFT calculation with PBE-GGA was carried out for a relaxed structure of CuS3Cl3.

Cell: 9.679 9.678 9.679 Å, 51.37 51.36 51.37°
Site moments in Bohr magnetons follow the coordinates.
Atoms (fractional coordinates):
Cu  0.265  0.265  0.265  0.40
Cu  0.735  0.735  0.735  0.40
S  0.730  0.003  0.949  0.23
S  0.003  0.949  0.730  0.23
S  0.949  0.730  0.003  0.23
S  0.051  0.270  0.997  0.23
S  0.997  0.051  0.270  0.23
S  0.270  0.997  0.051  0.23
Cl  0.695  0.501  0.014  0.15
Cl  0.014  0.695  0.501  0.15
Cl  0.501  0.014  0.695  0.15
Cl  0.499  0.986  0.305  0.15
Cl  0.986  0.305  0.499  0.15
Cl  0.305  0.499  0.986  0.15

**Density of states at the Fermi level**: 3.62 states/eV/f.u.
**Symmetry**: No. 148
**Uncorrected energy**: -3.138 eV per atom
**Size of the total moment**: 2.09 μB per formula unit

=====

> Which value of uncorrected energy does entry 3 give?

-3.650 eV per atom

=====

> Number 5 is which compound?

Cu4S2Cl5

=====

> What is the uncorrected energy in the third record?

-3.650 eV per atom